# 1
# SbPd3Ru (PBE-GGA, optimized geometry)
# V: 23.10 Å³/atom
# size of the total moment: 3.2 Bohr magnetons per cell
# formation energy without anion corrections: 1.0339 eV per atom
data_SbPd3Ru
_chemical_formula_sum 'Sb1 Pd3 Ru1'
_cell_length_a 4.870
_cell_length_b 4.870
_cell_length_c 4.870
_cell_angle_alpha 90.00
_cell_angle_beta 90.00
_cell_angle_gamma 90.00
_symmetry_space_group_name_H-M 'P m -3 m'
_symmetry_Int_Tables_number 221
_symmetry_space_group_name_Hall '-P 4 2 3'
loop_
_atom_site_label
_atom_site_type_symbol
_atom_site_fract_x
_atom_site_fract_y
_atom_site_fract_z
Sb1 Sb 0.000 0.000 0.000
Pd1 Pd 0.000 0.000 0.500
Ru1 Ru 0.500 0.500 0.500

***

# 2
# BeHgAu (PBE-GGA, optimized geometry)
# V: 16.70 Å³/atom
# size of the total moment: 0.0 Bohr magnetons per cell
# energy relative to the elements: 0.37 eV/f.u.
data_BeHgAu
_chemical_formula_sum 'Be4 Hg4 Au4'
_cell_length_a 4.197
_cell_length_b 4.222
_cell_length_c 11.310
_cell_angle_alpha 90.00
_cell_angle_beta 90.00
_cell_angle_gamma 90.00
_symmetry_space_group_name_H-M 'F m m 2'
_symmetry_Int_Tables_number 42
_symmetry_space_group_name_Hall 'F 2 -2'
loop_
_atom_site_label
_atom_site_type_symbol
_atom_site_fract_x
_atom_site_fract_y
_atom_site_fract_z
Be1 Be 0.000 0.000 0.000
Hg1 Hg 0.000 0.000 0.672
Au1 Au 0.000 0.000 0.392

***

# 3
# DyHoPa (PBE-GGA, optimized geometry)
# V: 29.22 Å³/atom
# size of the total moment: 0.0 Bohr magnetons per cell
# energy relative to the elements: 0.47 eV/f.u.
data_DyHoPa
_chemical_formula_sum 'Dy4 Ho4 Pa4'
_cell_length_a 3.325
_cell_length_b 20.529
_cell_length_c 5.137
_cell_angle_alpha 90.00
_cell_angle_beta 90.00
_cell_angle_gamma 90.00
_symmetry_space_group_name_H-M 'C m c m'
_symmetry_Int_Tables_number 63
_symmetry_space_group_name_Hall '-C 2c 2'
loop_
_atom_site_label
_atom_site_type_symbol
_atom_site_fract_x
_atom_site_fract_y
_atom_site_fract_z
Dy1 Dy 0.000 0.207 0.250
Ho1 Ho 0.000 0.382 0.250
Pa1 Pa 0.000 0.032 0.250

***

# 4
# Sm12Dy5Pu (PBE-GGA, optimized geometry)
# V: 32.78 Å³/atom
# size of the total moment: 12.6 Bohr magnetons per cell
# energy relative to the elements: 0.62 eV/f.u.
data_Sm12Dy5Pu
_chemical_formula_sum 'Sm24 Dy10 Pu2'
_cell_length_a 18.640
_cell_length_b 10.781
_cell_length_c 6.219
_cell_angle_alpha 90.00
_cell_angle_beta 109.22
_cell_angle_gamma 90.00
_symmetry_space_group_name_H-M 'C 1 2/m 1'
_symmetry_Int_Tables_number 12
loop_
_symmetry_equiv_pos_as_xyz
'x,y,z'
'-x,-y,-z'
'-x,y,-z'
'x,-y,z'
'x+1/2,y+1/2,z'
'-x+1/2,-y+1/2,-z'
'-x+1/2,y+1/2,-z'
'x+1/2,-y+1/2,z'
loop_
_atom_site_label
_atom_site_type_symbol
_atom_site_fract_x
_atom_site_fract_y
_atom_site_fract_z
Sm1 Sm 0.000 0.164 0.000
Sm2 Sm 0.000 0.332 0.500
Sm3 Sm 0.165 0.165 0.500
Sm4 Sm 0.167 0.334 0.001
Dy1 Dy 0.000 0.500 0.000
Dy2 Dy 0.165 0.000 0.996
Dy3 Dy 0.167 0.500 0.501
Pu1 Pu 0.000 0.000 0.500

***

# 5
# KZnCd2 (PBE-GGA, optimized geometry)
# V: 29.31 Å³/atom
# size of the total moment: 0.0 Bohr magnetons per cell
# energy relative to the elements: 0.27 eV/f.u.
data_KZnCd2
_chemical_formula_sum 'K2 Zn2 Cd4'
_cell_length_a 8.895
_cell_length_b 3.496
_cell_length_c 7.636
_cell_angle_alpha 90.00
_cell_angle_beta 99.15
_cell_angle_gamma 90.00
_symmetry_space_group_name_H-M 'C 1 2/m 1'
_symmetry_Int_Tables_number 12
loop_
_symmetry_equiv_pos_as_xyz
'x,y,z'
'-x,-y,-z'
'-x,y,-z'
'x,-y,z'
'x+1/2,y+1/2,z'
'-x+1/2,-y+1/2,-z'
'-x+1/2,y+1/2,-z'
'x+1/2,-y+1/2,z'
loop_
_atom_site_label
_atom_site_type_symbol
_atom_site_fract_x
_atom_site_fract_y
_atom_site_fract_z
K1 K 0.000 0.000 0.000
Zn1 Zn 0.000 0.500 0.500
Cd1 Cd 0.232 0.000 0.670

***

# 6
# Dy2MgTe (PBE-GGA, optimized geometry)
# V: 34.44 Å³/atom
# size of the total moment: 0.0 Bohr magnetons per cell
# formation energy without anion corrections: -0.1931 eV per atom
data_Dy2MgTe
_chemical_formula_sum 'Dy6 Mg3 Te3'
_cell_length_a 3.8788
_cell_length_b 3.8788
_cell_length_c 31.7226
_cell_angle_alpha 90.00
_cell_angle_beta 90.00
_cell_angle_gamma 120.00
_symmetry_space_group_name_H-M 'R -3 m'
_symmetry_Int_Tables_number 166
_symmetry_space_group_name_Hall '-R 3 2"'
loop_
_atom_site_label
_atom_site_type_symbol
_atom_site_fract_x
_atom_site_fract_y
_atom_site_fract_z
Dy1 Dy 0.0000 0.0000 0.1031
Mg1 Mg 0.0000 0.0000 0.0000
Te1 Te 0.0000 0.0000 0.5000

***

# 7
# SmErAlPt (PBE-GGA, optimized geometry)
# V: 22.96 Å³/atom
# size of the total moment: 0.0 Bohr magnetons per cell
# energy relative to the elements: -2.80 eV/f.u.
data_SmErAlPt
_chemical_formula_sum 'Sm4 Er4 Al4 Pt4'
_cell_length_a 7.162
_cell_length_b 7.162
_cell_length_c 7.162
_cell_angle_alpha 90.00
_cell_angle_beta 90.00
_cell_angle_gamma 90.00
_symmetry_space_group_name_H-M 'F -4 3 m'
_symmetry_Int_Tables_number 216
_symmetry_space_group_name_Hall 'F -4 2 3'
loop_
_atom_site_label
_atom_site_type_symbol
_atom_site_fract_x
_atom_site_fract_y
_atom_site_fract_z
Sm1 Sm 0.000 0.000 0.000
Er1 Er 0.000 0.000 0.500
Al1 Al 0.250 0.250 0.750
Pt1 Pt 0.250 0.250 0.250

***

# 8
# RbNa2SrPt (PBE-GGA, optimized geometry)
# V: 40.72 Å³/atom
# size of the total moment: 0.0 Bohr magnetons per cell
# energy relative to the elements: -0.58 eV/f.u.
data_RbNa2SrPt
_chemical_formula_sum 'Rb1 Na2 Sr1 Pt1'
_cell_length_a 5.948
_cell_length_b 5.948
_cell_length_c 5.756
_cell_angle_alpha 90.00
_cell_angle_beta 90.00
_cell_angle_gamma 90.00
_symmetry_space_group_name_H-M 'P 4/m m m'
_symmetry_Int_Tables_number 123
_symmetry_space_group_name_Hall '-P 4 2'
loop_
_atom_site_label
_atom_site_type_symbol
_atom_site_fract_x
_atom_site_fract_y
_atom_site_fract_z
Rb1 Rb 0.000 0.000 0.000
Na1 Na 0.000 0.500 0.500
Sr1 Sr 0.500 0.500 0.000
Pt1 Pt 0.500 0.500 0.500